No. 1
This record from Alexandria describes a geometry-optimized FeSbH structure. The functional is PBE.

```
FeSbH
1.0
4.8542 -0.0041 -0.0032
2.4230 4.4713 0.4060
2.4232 1.3868 4.2702
Fe Sb H
2 2 2
Direct
0.4607 0.2677 0.9548
0.9608 0.2677 0.9548
0.4607 0.2679 0.4547
0.9608 0.7678 0.9546
0.7108 0.5007 0.7219
0.2107 0.0349 0.1877
```

Results
- V: 15.0 A^3/atom
- Relative energy among the computed polymorphs: 0.0634 eV per atom



No. 2
This record from Alexandria describes a geometry-optimized FeSbH2 structure. The functional is PBE.

```
FeSbH2
1.0
0.0000 2.8017 2.8017
2.8017 0.0000 2.8017
2.8017 2.8017 0.0000
Sb H Fe
1 2 1
Direct
0.5000 0.5000 0.5000
0.2500 0.2500 0.2500
0.7500 0.7500 0.7500
0.0000 0.0000 0.0000
```

Results
- V: 11.0 A^3/atom
- Relative energy among the computed polymorphs: 0.4787 eV per atom



No. 3
This record from Alexandria describes a geometry-optimized Fe3SbH structure. The functional is PBE.

```
Fe3SbH
1.0
-2.2641 -1.3930 2.7825
2.4433 -2.9266 0.5229
1.9268 2.0743 2.6063
Fe Sb H
3 1 1
Direct
0.0000 0.5000 0.0000
0.0000 0.0000 0.5000
0.5000 0.0000 0.0000
0.5000 0.5000 0.5000
0.0000 0.0000 0.0000
```

Results
- V: 11.4 A^3/atom
- Relative energy among the computed polymorphs: 0.0000 eV per atom



No. 4
This record from Alexandria describes a geometry-optimized FeSbH structure. The functional is PBE.

```
FeSbH
1.0
2.9742 -0.2671 -0.3141
0.3564 4.3192 -0.3038
-0.6351 1.9603 6.6756
Fe Sb H
2 2 2
Direct
0.7510 0.2418 0.5021
0.2490 0.7582 0.4979
0.5937 0.6961 0.1865
0.4063 0.3039 0.8135
0.1935 0.1475 0.3871
0.8065 0.8525 0.6129
```

Results
- V: 14.5 A^3/atom
- Relative energy among the computed polymorphs: 0.0000 eV per atom



No. 5
This record from Alexandria describes a geometry-optimized FeSbH structure. The functional is PBE.

```
FeSbH
1.0
-2.4511 -2.8207 -0.3206
0.4521 0.0303 -3.7232
5.5941 -4.9338 0.6392
H Fe Sb
2 2 2
Direct
0.5000 0.0000 0.9584
0.0000 0.5000 0.0416
0.0000 0.0000 0.5000
0.5000 0.5000 0.5000
0.0000 0.5000 0.2729
0.5000 0.0000 0.7271
```

Results
- V: 17.6 A^3/atom
- Relative energy among the computed polymorphs: 0.2455 eV per atom



No. 6
This record from Alexandria describes a geometry-optimized Fe3SbH structure. The functional is PBE.

```
Fe3SbH
1.0
-3.5086 -1.8967 -2.8886
2.9960 -3.7209 -1.1959
-1.7219 -2.6094 3.8049
Fe H Sb
3 1 1
Direct
0.0000 0.0000 0.5000
0.0000 0.5000 0.0000
0.5000 0.0000 0.0000
0.5000 0.5000 0.5000
0.0000 0.0000 0.0000
```

Results
- V: 23.9 A^3/atom
- Relative energy among the computed polymorphs: 1.6001 eV per atom



No. 7
This record from Alexandria describes a geometry-optimized Fe2SbH structure. The functional is PBE.

```
Fe2SbH
1.0
-2.5551 3.9078 -0.9915
-3.0674 -2.6461 -2.5242
-5.2967 -0.0476 1.9735
Fe H Sb
4 2 2
Direct
0.3750 0.5809 0.7500
0.8750 0.6691 0.7500
0.4191 0.1250 0.2500
0.3309 0.6250 0.2500
0.5000 0.5000 0.0000
0.2500 0.7500 0.5000
0.0000 0.0000 0.0000
0.7500 0.2500 0.5000
```

Results
- V: 12.9 A^3/atom
- Relative energy among the computed polymorphs: 0.0000 eV per atom



No. 8
This record from Alexandria describes a geometry-optimized Fe2SbH structure. The functional is PBE.

```
Fe2SbH
1.0
-2.0618 -3.5560 0.0103
-1.2705 -1.6288 3.5537
-4.0054 -0.0507 0.9220
H Fe Sb
1 2 1
Direct
0.0000 0.0000 0.0000
0.7500 0.7500 0.7500
0.2500 0.2500 0.2500
0.5000 0.5000 0.5000
```

Results
- V: 12.3 A^3/atom
- Relative energy among the computed polymorphs: 0.4933 eV per atom



No. 9
This record from Alexandria describes a geometry-optimized Fe2SbH2 structure. The functional is PBE.

```
Fe2SbH2
1.0
-1.3014 -0.4703 2.7595
2.6691 -1.1261 1.0668
2.1569 4.1507 3.4514
H Sb Fe
2 1 2
Direct
0.7500 0.2500 0.5000
0.2500 0.7500 0.5000
0.0000 0.0000 0.0000
0.3298 0.3298 0.3404
0.6702 0.6702 0.6596
```

Results
- Total energy: -5.37 eV per atom
- V: 10.3 A^3/atom



No. 10
This record from Alexandria describes a geometry-optimized FeSbH2 structure. The functional is PBE.

```
FeSbH2
1.0
4.2042 0.0000 0.0000
0.0000 4.2042 0.0000
2.1021 2.1021 4.9531
Sb H Fe
2 4 2
Direct
0.0000 0.0000 0.0000
0.7500 0.2500 0.5000
0.3750 0.6250 0.7500
0.3750 0.1250 0.2500
0.8750 0.6250 0.7500
0.3750 0.6250 0.2500
0.2500 0.7500 0.5000
0.5000 0.5000 0.0000
```

Results
- V: 10.9 A^3/atom
- Relative energy among the computed polymorphs: 0.0000 eV per atom



No. 11
This record from Alexandria describes a geometry-optimized FeSb2H2 structure. The functional is PBE.

```
FeSb2H2
1.0
-1.8212 -0.3057 -2.6289
1.5127 -2.7388 -0.7295
-4.4600 -4.7964 1.6844
Sb H Fe
2 2 1
Direct
0.3756 0.3756 0.2487
0.6244 0.6244 0.7513
0.2500 0.7500 0.5000
0.7500 0.2500 0.5000
0.0000 0.0000 0.0000
```

Results
- Total energy: -4.15 eV per atom
- V: 13.1 A^3/atom



No. 12
This record from Alexandria describes a geometry-optimized Sr2FeSb2H4 structure. The functional is PBE.

```
Sr2FeSb2H4
1.0
-5.2815 -1.2679 2.7238
1.3262 -3.3846 -4.8690
4.9911 -1.2342 3.2384
Sr H Fe Sb
2 4 1 2
Direct
0.5000 0.7500 0.2500
0.5000 0.2500 0.7500
0.6463 0.8232 0.8232
0.0000 0.1768 0.8232
0.0000 0.8232 0.1768
0.3537 0.1768 0.1768
0.0000 0.0000 0.0000
0.0000 0.3237 0.3237
0.0000 0.6763 0.6763
```

Results
- Total energy: -3.85 eV per atom
- V: 18.6 A^3/atom



No. 13
This record from Alexandria describes a geometry-optimized TaFeSb2H structure. The functional is PBE.

```
TaFeSb2H
1.0
5.3964 0.0000 0.0000
0.0000 3.5588 0.0000
0.0000 0.0000 5.3964
H Fe Ta Sb
1 1 1 2
Direct
0.0000 0.5000 0.0000
0.5000 0.5000 0.5000
0.0000 0.0000 0.0000
0.0000 0.0000 0.5000
0.5000 0.0000 0.0000
```

Results
- Total energy: -5.68 eV per atom
- V: 20.7 A^3/atom



No. 14
This record from Alexandria describes a geometry-optimized FeSbTe2H structure. The functional is PBE.

```
FeSbTe2H
1.0
5.0432 0.0000 0.0000
0.0000 5.0432 0.0000
0.0000 0.0000 4.8496
Fe Te H Sb
1 2 1 1
Direct
0.0000 0.0000 0.0000
0.0000 0.5000 0.0000
0.5000 0.0000 0.0000
0.5000 0.5000 0.5000
0.0000 0.0000 0.5000
```

Results
- V: 24.7 A^3/atom
- Relative energy among the computed polymorphs: 0.0000 eV per atom



No. 15
This record from Alexandria describes a geometry-optimized FeSbTe2H structure. The functional is PBE.

```
FeSbTe2H
1.0
5.0773 0.0000 0.0000
0.0000 5.0773 0.0000
0.0000 0.0000 3.8262
Fe Sb Te H
1 1 2 1
Direct
0.5000 0.5000 0.5000
0.0000 0.0000 0.5000
0.0000 0.5000 0.0000
0.5000 0.0000 0.0000
0.0000 0.0000 0.0000
```

Results
- V: 19.7 A^3/atom
- Relative energy among the computed polymorphs: 0.1018 eV per atom



No. 16
This record from Alexandria describes a geometry-optimized FeSb2TeH structure. The functional is PBE.

```
FeSb2TeH
1.0
4.2927 0.0000 0.0000
0.0000 4.2927 0.0000
0.0000 0.0000 5.2835
Fe Sb H Te
1 2 1 1
Direct
0.5000 0.5000 0.5000
0.5000 0.0000 0.0000
0.0000 0.5000 0.0000
0.0000 0.0000 0.0000
0.0000 0.0000 0.5000
```

Results
- V: 19.5 A^3/atom
- Relative energy among the computed polymorphs: 0.1607 eV per atom



No. 17
This record from Alexandria describes a geometry-optimized FeSb2TeH structure. The functional is PBE.

```
FeSb2TeH
1.0
4.9321 0.0000 0.0000
0.0000 4.9321 0.0000
0.0000 0.0000 5.1146
Fe H Sb Te
1 1 2 1
Direct
0.0000 0.0000 0.0000
0.5000 0.5000 0.5000
0.5000 0.0000 0.0000
0.0000 0.5000 0.0000
0.0000 0.0000 0.5000
```

Results
- V: 24.9 A^3/atom
- Relative energy among the computed polymorphs: 0.0000 eV per atom



No. 18
This record from Alexandria describes a geometry-optimized TiFe2SbH structure. The functional is PBE.

```
TiFe2SbH
1.0
-2.2806 -2.4833 -2.0405
-1.9416 -0.9294 3.3011
-2.4211 2.7559 -0.6481
Sb Ti Fe H
1 1 2 1
Direct
0.5000 0.5000 0.5000
0.0000 0.0000 0.5000
0.0000 0.5000 0.0000
0.5000 0.0000 0.0000
0.0000 0.0000 0.0000
```

Results
- Total energy: -6.56 eV per atom
- V: 11.6 A^3/atom



No. 19
This record from Alexandria describes a geometry-optimized Ti2FeSbH structure. The functional is PBE.

```
Ti2FeSbH
1.0
-2.4859 1.2387 2.9708
-0.3167 -3.8296 1.3317
3.1458 0.5723 2.3937
Ti Sb Fe H
2 1 1 1
Direct
0.5000 0.0000 0.0000
0.0000 0.5000 0.0000
0.5000 0.5000 0.5000
0.0000 0.0000 0.5000
0.0000 0.0000 0.0000
```

Results
- Total energy: -6.70 eV per atom
- V: 13.2 A^3/atom



No. 20
This record from Alexandria describes a geometry-optimized Sc2FeH structure. The functional is PBE.

```
Sc2FeH
1.0
-1.9996 1.8051 1.3023
0.7768 -1.0746 2.6823
4.5166 4.6134 0.5402
Sc Fe H
2 1 1
Direct
0.0000 0.0000 0.7393
0.0000 0.0000 0.2607
0.5000 0.5000 0.5000
0.5000 0.5000 0.0000
```

Results
- V: 14.5 A^3/atom
- Relative energy among the computed polymorphs: 0.0000 eV per atom